Model A:
First-principles (PBE) data for crystalline DyCdPd2 at its relaxed geometry, as listed in Alexandria via LeMat-Bulk.

Output
* theoretical density: 10.406 g/cm3
* total magnetization: 0.00 Bohr magnetons per cell

abc: 6.777 6.777 6.777
angles: 90.00 90.00 90.00
Space group Fm-3m (No. 225)
One atom of each set of equivalent atoms:
Dy 0.000 0.000 0.000 (multiplicity 4)
Cd 0.000 0.000 0.500 (multiplicity 4)
Pd 0.250 0.250 0.250 (multiplicity 8)



Model B:
First-principles (PBE) data for crystalline DyCdPd2 at its relaxed geometry, as listed in Alexandria via LeMat-Bulk.

Output
* theoretical density: 10.468 g/cm3
* total magnetization: 0.00 Bohr magnetons per cell

abc: 4.720 4.720 3.473
angles: 90.00 90.00 90.00
Space group P4/mmm (No. 123)
One atom of each set of equivalent atoms:
Dy 0.000 0.000 0.000 (multiplicity 1)
Cd 0.500 0.500 0.000 (multiplicity 1)
Pd 0.000 0.500 0.500 (multiplicity 2)



Bottom line: model A, by a margin of 6.9 kJ/mol of atoms.



Model A:
First-principles (PBE) data for crystalline DyCdPd2 at its relaxed geometry, as listed in Alexandria via LeMat-Bulk.

Output
* theoretical density: 10.465 g/cm3
* total magnetization: 0.00 Bohr magnetons per cell

abc: 4.961 6.208 5.026
angles: 90.00 90.00 90.00
Space group Pmmn (No. 59, origin choice 2)
One atom of each set of equivalent atoms:
Dy 0.250 0.250 0.213 (multiplicity 2)
Cd 0.250 0.750 0.227 (multiplicity 2)
Pd 0.250 0.001 0.711 (multiplicity 4)



Model B:
First-principles (PBE) data for crystalline DyCdPd2 at its relaxed geometry, as listed in Alexandria via LeMat-Bulk.

Output
* theoretical density: 10.370 g/cm3
* total magnetization: 0.00 Bohr magnetons per cell

abc: 3.570 3.570 6.129
angles: 90.00 90.00 90.00
Space group P4/mmm (No. 123)
One atom of each set of equivalent atoms:
Dy 0.000 0.000 0.000 (multiplicity 1)
Cd 0.000 0.000 0.500 (multiplicity 1)
Pd 0.500 0.500 0.260 (multiplicity 2)



Bottom line: model A, by a margin of 3.5 kJ/mol of atoms.



Model A:
First-principles (PBE) data for crystalline DyCd2Pd4 at its relaxed geometry, as listed in Alexandria via LeMat-Bulk.

Output
* theoretical density: 10.564 g/cm3
* total magnetization: 0.00 Bohr magnetons per cell

abc: 5.850 6.775 7.230
angles: 111.69 92.71 103.84
Space group P1 (No. 1)
One atom of each set of equivalent atoms:
Dy 0.000 0.000 0.000 (multiplicity 1)
Dy 0.200 0.526 0.845 (multiplicity 1)
Cd 0.255 0.815 0.310 (multiplicity 1)
Cd 0.379 0.105 0.733 (multiplicity 1)
Cd 0.647 0.296 0.443 (multiplicity 1)
Cd 0.751 0.809 0.299 (multiplicity 1)
Pd 0.136 0.254 0.425 (multiplicity 1)
Pd 0.400 0.399 0.151 (multiplicity 1)
Pd 0.494 0.690 0.599 (multiplicity 1)
Pd 0.513 0.978 0.040 (multiplicity 1)
Pd 0.704 0.545 0.874 (multiplicity 1)
Pd 0.852 0.116 0.697 (multiplicity 1)
Pd 0.900 0.402 0.142 (multiplicity 1)
Pd 0.997 0.700 0.590 (multiplicity 1)



Model B:
First-principles (PBE) data for crystalline DyCd2Pd4 at its relaxed geometry, as listed in Alexandria via LeMat-Bulk.

Output
* theoretical density: 9.735 g/cm3
* total magnetization: 0.00 Bohr magnetons per cell

abc: 6.838 6.838 5.931
angles: 90.00 90.00 90.00
Space group I4/mmm (No. 139)
One atom of each set of equivalent atoms:
Dy 0.000 0.000 0.000 (multiplicity 2)
Cd 0.000 0.500 0.000 (multiplicity 4)
Pd 0.250 0.250 0.250 (multiplicity 8)



Bottom line: model A, by a margin of 12.9 kJ/mol of atoms.



Model A:
First-principles (PBE) data for crystalline Dy12CdPd6 at its relaxed geometry, as listed in Alexandria via LeMat-Bulk.

Output
* theoretical density: 9.121 g/cm3
* total magnetization: 0.00 Bohr magnetons per cell

abc: 9.944 9.944 9.944
angles: 90.00 90.00 90.00
Space group Im-3 (No. 204)
One atom of each set of equivalent atoms:
Dy 0.000 0.296 0.183 (multiplicity 24)
Cd 0.000 0.000 0.000 (multiplicity 2)
Pd 0.000 0.137 0.500 (multiplicity 12)



Model B:
First-principles (PBE) data for crystalline Dy12CdPd6 at its relaxed geometry, as listed in Alexandria via LeMat-Bulk.

Output
* theoretical density: 8.689 g/cm3
* total magnetization: 0.00 Bohr magnetons per cell

abc: 14.1210 14.1210 8.9668
angles: 90.00 90.00 120.00
Space group R-3 (No. 148, hexagonal axes)
One atom of each set of equivalent atoms:
Dy 0.0403 0.7873 0.4268 (multiplicity 18)
Dy 0.0566 0.8795 0.8242 (multiplicity 18)
Cd 0.0000 0.0000 0.5000 (multiplicity 3)
Pd 0.0720 0.5740 0.7807 (multiplicity 18)



Bottom line: model A, by a margin of 10.3 kJ/mol of atoms.



Model A:
First-principles (PBE) data for crystalline Dy2Cd2Pd3 at its relaxed geometry, as listed in Alexandria via LeMat-Bulk.

Output
* theoretical density: 9.649 g/cm3
* total magnetization: 0.00 Bohr magnetons per cell

abc: 4.845 4.864 7.814
angles: 107.60 90.36 119.80
Space group P-1 (No. 2)
One atom of each set of equivalent atoms:
Dy 0.113 0.228 0.338 (multiplicity 2)
Cd 0.370 0.743 0.108 (multiplicity 2)
Pd 0.243 0.481 0.730 (multiplicity 2)
Pd 0.500 0.000 0.500 (multiplicity 1)



Model B:
First-principles (PBE) data for crystalline Dy2Cd2Pd3 at its relaxed geometry, as listed in Alexandria via LeMat-Bulk.

Output
* theoretical density: 9.787 g/cm3
* total magnetization: 0.00 Bohr magnetons per cell

abc: 9.808 4.259 7.336
angles: 90.00 105.78 90.00
Space group C2/m (No. 12)
One atom of each set of equivalent atoms:
Dy 0.128 0.000 0.309 (multiplicity 4)
Cd 0.126 0.500 0.931 (multiplicity 4)
Pd 0.000 0.500 0.500 (multiplicity 2)
Pd 0.172 0.000 0.708 (multiplicity 4)



Bottom line: model B, by a margin of 1.0 kJ/mol of atoms.



Model A:
First-principles (PBE) data for crystalline DyCd2Pd3 at its relaxed geometry, as listed in Alexandria via LeMat-Bulk.

Output
* theoretical density: 10.410 g/cm3
* total magnetization: 0.00 Bohr magnetons per cell

abc: 4.7667 4.7667 5.7280
angles: 90.00 90.00 120.00
Space group P-3m1 (No. 164)
One atom of each set of equivalent atoms:
Dy 0.0000 0.0000 0.0000 (multiplicity 1)
Cd 0.3333 0.6667 0.6692 (multiplicity 2)
Pd 0.0000 0.0000 0.5000 (multiplicity 1)
Pd 0.3333 0.6667 0.1798 (multiplicity 2)



Model B:
First-principles (PBE) data for crystalline DyCd2Pd3 at its relaxed geometry, as listed in Alexandria via LeMat-Bulk.

Output
* theoretical density: 10.400 g/cm3
* total magnetization: 0.00 Bohr magnetons per cell

abc: 4.7466 4.7466 11.5644
angles: 90.00 90.00 120.00
Space group P-3m1 (No. 164)
One atom of each set of equivalent atoms:
Dy 0.3333 0.6667 0.1694 (multiplicity 2)
Cd 0.0000 0.0000 0.0000 (multiplicity 1)
Cd 0.0000 0.0000 0.5000 (multiplicity 1)
Cd 0.3333 0.6667 0.6625 (multiplicity 2)
Pd 0.0000 0.0000 0.2575 (multiplicity 2)
Pd 0.3333 0.6667 0.4176 (multiplicity 2)
Pd 0.3333 0.6667 0.9153 (multiplicity 2)



Bottom line: model B, by a margin of 0.8 kJ/mol of atoms.